Here is a geometry-optimized Na2LiMoF6 structure from Alexandria via LeMat-Bulk. Energies are from PBE+U.

Cell: 5.513 5.702 8.065 Å, 90.00 88.38 90.00°
Site moments in Bohr magnetons follow the coordinates.
Atoms (fractional coordinates):
Na  0.023  0.942  0.255  0.00
Na  0.523  0.558  0.755  0.00
Na  0.977  0.058  0.745  0.00
Na  0.477  0.442  0.245  0.00
Li  0.500  0.000  0.000  0.00
Li  0.000  0.500  0.500  0.00
Mo  0.500  0.000  0.500  2.77
Mo  0.000  0.500  0.000  2.77
F  0.305  0.703  0.058  0.02
F  0.805  0.797  0.558  0.02
F  0.695  0.297  0.942  0.02
F  0.195  0.203  0.442  0.02
F  0.300  0.702  0.435  0.02
F  0.800  0.798  0.935  0.02
F  0.700  0.298  0.565  0.02
F  0.200  0.202  0.065  0.02
F  0.882  0.548  0.248  0.02
F  0.382  0.952  0.748  0.02
F  0.118  0.452  0.752  0.02
F  0.618  0.048  0.252  0.02

Values from the calculation:
E = -5.039 eV per atom
N(E_F) = 0.00 states/eV/atom
spin magnetization = 6.00 Bohr magnetons per cell
space group = P2_1/c (14)